Compound: SmFeBi2O6
Source: the Alexandria database
Functional: GGA+U
Structure: relaxed

The calculation puts the magnetic moment at 4.99 Bohr magnetons per cell. The value obtained for the total energy is -6.57 eV per atom.

Lattice parameters (Å, degrees): 5.8934 5.8988 6.0202 60.60 60.66 59.95
Site moments in Bohr magnetons follow the coordinates.
Fractional coordinates of all 10 atoms:
Sm: 0.8053 0.8060 0.5833  0.04
Fe: 0.3135 0.3136 0.0590  4.33
Bi: 0.5252 0.5262 0.4238  0.01
Bi: 0.0237 0.0246 0.9268  0.01
O: 0.5932 0.1755 0.2430  0.10
O: 0.1760 0.9876 0.2440  0.10
O: 0.9881 0.5929 0.2434  0.10
O: 0.4434 0.6610 0.7633  0.06
O: 0.6616 0.1311 0.7644  0.06
O: 0.1317 0.4431 0.7641  0.06